8
Lattice="0.0000 5.0469 5.0469 5.0469 0.0000 5.0469 5.0469 5.0469 0.0000" Properties=species:S:1:pos:R:3 comment="RbHg7 (PBE, relaxed)" e_above_lowest_polymorph_ev_per_atom=0.014 total_magnetization_mub_per_fu=0.00 rho_kg_m3=9621 n_ef_per_ev_cell=2.8 ef_mev_per_atom=-96 pbc="T T T"
Rb 0.0000 0.0000 0.0000
Hg 2.5234 2.5234 0.0000
Hg 2.5234 0.0000 2.5234
Hg 5.0469 2.5234 2.5234
Hg 0.0000 2.5234 2.5234
Hg 2.5234 5.0469 2.5234
Hg 2.5234 2.5234 5.0469
Hg 5.0469 5.0469 5.0469